# 1
# SrLiErIn

An optimized crystal structure of SrLiErIn (PBE, Alexandria).

POSCAR file:
```
SrLiErIn
1.0
5.4908 0.0000 0.0000
2.7454 4.7552 0.0000
2.7454 1.5851 4.4833
Sr Li Er In
1 1 1 1
Direct
0.0000 0.0000 0.0000
0.2500 0.2500 0.2500
0.5000 0.5000 0.5000
0.7500 0.7500 0.7500
```

Computed properties:
For the formation energy from the elements, the calculation gives -176.9 meV/atom. The raw total energy is -2.901 eV/atom.


# 2
# TmPu2F8

An optimized crystal structure of TmPu2F8 (PBE, Alexandria).

POSCAR file:
```
TmPu2F8
1.0
4.0011 0.0000 0.0000
-2.0005 6.2743 -1.2647
0.0000 -0.0205 7.4542
Pu F Tm
2 8 1
Direct
0.7369 0.4739 0.7339
0.2631 0.5261 0.2661
0.0723 0.1445 0.1314
0.8047 0.6093 0.4431
0.1953 0.3907 0.5569
0.3110 0.6220 0.9274
0.9277 0.8555 0.8686
0.4439 0.8878 0.2511
0.6890 0.3780 0.0726
0.5561 0.1122 0.7489
0.5000 0.0000 0.0000
```

Computed properties:
The raw total energy is -8.039 eV/atom. The formation energy from raw total energies is -3.67 eV per atom.


# 3
# La4Nd5Er3

An optimized crystal structure of La4Nd5Er3 (PBE, Alexandria).

POSCAR file:
```
La4Nd5Er3
1.0
6.0532 0.0000 0.0000
3.0266 7.7948 -2.8101
3.0266 -0.8384 9.3376
Er Nd La
3 5 4
Direct
0.4819 0.3084 0.7279
0.0000 0.5000 0.5000
0.5181 0.6916 0.2721
0.2177 0.4529 0.1117
0.5000 0.5000 0.5000
0.6309 0.9429 0.7952
0.7823 0.5471 0.8883
0.3691 0.0571 0.2048
0.1427 0.7731 0.9415
0.8573 0.2269 0.0585
0.8420 0.9393 0.3767
0.1580 0.0607 0.6233
```

Computed properties:
For the formation energy from the elements, the calculation gives 199.3 meV/atom. The raw total energy is -4.570 eV/atom.


# 4
# Be2NbMo

An optimized crystal structure of Be2NbMo (PBE, Alexandria).

POSCAR file:
```
Be2NbMo
1.0
-0.9564 -2.6331 1.7738
1.3797 -2.9634 -0.5560
4.0480 -0.7519 4.1655
Mo Be Nb
1 2 1
Direct
0.5000 0.5000 0.5000
0.7556 0.7556 0.7331
0.2444 0.2444 0.2669
0.0000 0.0000 0.0000
```

Computed properties:
For the formation energy from the elements, the calculation gives 240.3 meV/atom. For the energy above the lowest structure with this stoichiometry, the calculation gives 0.4308 eV/atom. The raw total energy is -6.848 eV/atom.


# 5
# K3Pb2Cl8

An optimized crystal structure of K3Pb2Cl8 (PBE, Alexandria).

POSCAR file:
```
K3Pb2Cl8
1.0
7.2626 -0.5016 -1.1584
-0.1285 7.4283 -4.0222
-1.3339 -0.0785 8.7701
Cl K Pb
8 3 2
Direct
0.4186 0.3734 0.2744
0.1744 0.3915 0.7830
0.5814 0.0990 0.7256
0.0287 0.8679 0.7358
0.9713 0.1321 0.2642
0.8256 0.6085 0.2170
0.4186 0.9010 0.2744
0.5814 0.6266 0.7256
0.0000 0.7308 0.0000
0.5000 0.0000 0.0000
0.0000 0.2692 0.0000
0.6611 0.7386 0.4771
0.3389 0.2614 0.5229
```

Computed properties:
For the energy above the lowest structure with this stoichiometry, the calculation gives 0.0510 eV/atom. The raw total energy is -3.324 eV/atom. The formation energy from raw total energies is -1.36 eV per atom.


# 6
# MgGaHg

An optimized crystal structure of MgGaHg (PBE, Alexandria).

POSCAR file:
```
MgGaHg
1.0
-2.5751 -0.1733 1.7431
2.5675 -1.9339 3.6008
-0.5199 4.7898 -0.2919
Hg Mg Ga
1 1 1
Direct
0.1639 0.0000 0.0000
0.6681 0.6667 0.3333
0.1681 0.3333 0.6667
```

Computed properties:
For the formation energy from the elements, the calculation gives -83.9 meV/atom. For the energy above the lowest structure with this stoichiometry, the calculation gives 0.0274 eV/atom. The raw total energy is -1.725 eV/atom.


# 7
# Tc2SbAu

An optimized crystal structure of Tc2SbAu (PBE, Alexandria).

POSCAR file:
```
Tc2SbAu
1.0
-1.6135 3.3727 -2.6113
-3.6928 0.2921 2.6598
1.4946 2.1396 1.8400
Sb Tc Au
1 2 1
Direct
0.0000 0.5000 0.5000
0.5000 0.5000 0.0000
0.0000 0.0000 0.0000
0.5000 0.0000 0.5000
```

Computed properties:
The raw total energy is -6.737 eV/atom. The formation energy from raw total energies is 0.30 eV per atom.


# 8
# BaAc15La4

An optimized crystal structure of BaAc15La4 (PBE, Alexandria).

POSCAR file:
```
BaAc15La4
1.0
5.6076 0.0000 0.0000
0.0000 5.6076 0.0000
0.0000 0.0000 28.0128
Ac La Ba
15 4 1
Direct
0.5000 0.0000 0.3026
0.5000 0.0000 0.6974
0.0000 0.5000 0.8932
0.5000 0.5000 0.4011
0.0000 0.5000 0.6974
0.0000 0.5000 0.1068
0.5000 0.5000 0.5989
0.5000 0.5000 0.2038
0.5000 0.0000 0.8932
0.0000 0.5000 0.3026
0.5000 0.5000 0.7962
0.0000 0.5000 0.5000
0.5000 0.0000 0.5000
0.5000 0.0000 0.1068
0.5000 0.5000 0.0000
0.0000 0.0000 0.5987
0.0000 0.0000 0.4013
0.0000 0.0000 0.7966
0.0000 0.0000 0.2034
0.0000 0.0000 0.0000
```

Computed properties:
For the formation energy from the elements, the calculation gives 35.4 meV/atom. The raw total energy is -4.128 eV/atom.


# 9
# ScCrCd2

An optimized crystal structure of ScCrCd2 (PBE, Alexandria).

POSCAR file:
```
ScCrCd2
1.0
5.2516 -0.0399 -0.0333
1.7608 4.9478 0.0333
-3.4869 -2.4815 3.0439
Cd Sc Cr
2 1 1
Direct
0.0001 0.0001 0.0000
0.4999 0.4999 0.0000
0.2500 0.7500 0.5000
0.7500 0.2500 0.5000
```

Computed properties:
For the formation energy from the elements, the calculation gives 51.4 meV/atom. For the energy above the lowest structure with this stoichiometry, the calculation gives 0.0086 eV/atom. The raw total energy is -4.395 eV/atom.


# 10
# HoTc2

An optimized crystal structure of HoTc2 (PBE, Alexandria).

POSCAR file:
```
HoTc2
1.0
5.3887 0.0000 0.0000
-2.6944 4.6668 0.0000
0.0000 0.0000 8.7851
Tc Ho
8 4
Direct
0.1715 0.3430 0.7500
0.6570 0.8285 0.7500
0.1715 0.8285 0.7500
0.8285 0.1715 0.2500
0.0000 0.0000 0.5000
0.3430 0.1715 0.2500
0.0000 0.0000 0.0000
0.8285 0.6570 0.2500
0.3333 0.6667 0.4378
0.6667 0.3333 0.5622
0.6667 0.3333 0.9378
0.3333 0.6667 0.0622
```

Computed properties:
For the formation energy from the elements, the calculation gives -204.9 meV/atom. For the energy above the lowest structure with this stoichiometry, the calculation gives 0.0000 eV/atom. The raw total energy is -8.642 eV/atom.


# 11
# Ba3Cl

An optimized crystal structure of Ba3Cl (PBE, Alexandria).

POSCAR file:
```
Ba3Cl
1.0
6.9657 0.0696 0.0000
-1.9376 6.6911 0.0000
0.0000 0.0000 4.3489
Ba Cl
3 1
Direct
0.5000 0.5000 0.0000
0.5000 0.0000 0.5000
0.0000 0.5000 0.5000
0.0000 0.0000 0.0000
```

Computed properties:
For the energy above the lowest structure with this stoichiometry, the calculation gives 0.3758 eV/atom. The raw total energy is -2.380 eV/atom. The formation energy from raw total energies is -0.48 eV per atom.


# 12
# PmPr3Bi3

An optimized crystal structure of PmPr3Bi3 (PBE, Alexandria).

POSCAR file:
```
PmPr3Bi3
1.0
-2.5236 -8.5833 3.8384
5.6604 1.7865 7.7164
-7.5078 4.2321 4.5275
Pr Bi Pm
12 12 4
Direct
0.5694 0.0694 0.4306
0.8220 0.3220 0.1780
0.9306 0.9306 0.9306
0.3211 0.8211 0.6789
0.4306 0.5694 0.0694
0.8211 0.6789 0.3211
0.1780 0.8220 0.3220
0.1789 0.1789 0.1789
0.3220 0.1780 0.8220
0.0694 0.4306 0.5694
0.6780 0.6780 0.6780
0.6789 0.3211 0.8211
0.0008 0.2524 0.8734
0.3734 0.4992 0.7476
0.4992 0.7476 0.3734
0.1266 0.5008 0.2476
0.7476 0.3734 0.4992
0.2476 0.1266 0.5008
0.8734 0.0008 0.2524
0.6266 0.9992 0.7524
0.5008 0.2476 0.1266
0.9992 0.7524 0.6266
0.2524 0.8734 0.0008
0.7524 0.6266 0.9992
0.0715 0.5715 0.9285
0.9285 0.0715 0.5715
0.5715 0.9285 0.0715
0.4285 0.4285 0.4285
```

Computed properties:
For the formation energy from the elements, the calculation gives -838.9 meV/atom. For the energy above the lowest structure with this stoichiometry, the calculation gives 0.0000 eV/atom. The raw total energy is -5.229 eV/atom.


Number 1: Fermi-level density of states 3.28 states/eV/cell. Number 2: Fermi-level density of states 18.45 states/eV/cell. Number 3: Fermi-level density of states 19.85 states/eV/cell. Number 4: Fermi-level density of states 2.81 states/eV/cell. Number 5: Fermi-level density of states 8.87 states/eV/cell. Number 6: Fermi-level density of states 0.86 states/eV/cell. Number 7: Fermi-level density of states 3.28 states/eV/cell. Number 8: Fermi-level density of states 39.91 states/eV/cell. Number 9: Fermi-level density of states 2.28 states/eV/cell. Number 10: Fermi-level density of states 11.51 states/eV/cell. Number 11: Fermi-level density of states 4.47 states/eV/cell. Number 12: Fermi-level density of states 31.95 states/eV/cell.